(1)
The following is a DFT calculation (PBE) of a relaxed structure of Th7Sb2Os2.

a b c (Å): 7.0243 7.0243 7.0364
angles (deg): 90.00 90.00 101.28
Atoms (fractional coordinates):
Th (0.0000, 0.0000, 0.0000)
Th (0.0000, 0.5000, 0.2562)
Th (0.0000, 0.5000, 0.7438)
Th (0.5000, 0.0000, 0.2562)
Th (0.5000, 0.0000, 0.7438)
Th (0.5000, 0.5000, 0.2403)
Th (0.5000, 0.5000, 0.7597)
Sb (0.1832, 0.1832, 0.5000)
Sb (0.8168, 0.8168, 0.5000)
Os (0.2615, 0.7385, 0.0000)
Os (0.7385, 0.2615, 0.0000)

Properties
Uncorrected energy: -85.668 eV for the cell shown
Raw formation energy: -0.27 eV per atom

---

(2)
The following is a DFT calculation (PBE) of a relaxed structure of TiSb2Os.

a b c (Å): 6.6747 6.6747 6.6747
angles (deg): 90.00 90.00 90.00
Atoms (fractional coordinates):
Ti (0.0000, 0.0000, 0.0000)
Ti (0.0000, 0.5000, 0.5000)
Ti (0.5000, 0.0000, 0.5000)
Ti (0.5000, 0.5000, 0.0000)
Sb (0.2500, 0.2500, 0.2500)
Sb (0.2500, 0.2500, 0.7500)
Sb (0.2500, 0.7500, 0.2500)
Sb (0.2500, 0.7500, 0.7500)
Sb (0.7500, 0.2500, 0.2500)
Sb (0.7500, 0.2500, 0.7500)
Sb (0.7500, 0.7500, 0.2500)
Sb (0.7500, 0.7500, 0.7500)
Os (0.0000, 0.0000, 0.5000)
Os (0.0000, 0.5000, 0.0000)
Os (0.5000, 0.0000, 0.0000)
Os (0.5000, 0.5000, 0.5000)

Properties
Energy above the lowest structure with this stoichiometry: 0 meV per atom
Uncorrected energy: -106.828 eV for the cell shown
Raw formation energy: 0.17 eV per atom

---

(3)
The following is a DFT calculation (PBE) of a relaxed structure of TiSbOs2.

a b c (Å): 4.1137 4.1137 17.4820
angles (deg): 90.00 90.00 90.00
Atoms (fractional coordinates):
Ti (0.0000, 0.0000, 0.0000)
Ti (0.0000, 0.5000, 0.2500)
Ti (0.5000, 0.0000, 0.7500)
Ti (0.5000, 0.5000, 0.5000)
Sb (0.0000, 0.0000, 0.5000)
Sb (0.0000, 0.5000, 0.7500)
Sb (0.5000, 0.0000, 0.2500)
Sb (0.5000, 0.5000, 0.0000)
Os (0.1958, 0.2500, 0.1250)
Os (0.2500, 0.6958, 0.3750)
Os (0.2500, 0.8042, 0.8750)
Os (0.3042, 0.2500, 0.6250)
Os (0.6958, 0.7500, 0.6250)
Os (0.7500, 0.1958, 0.8750)
Os (0.7500, 0.3042, 0.3750)
Os (0.8042, 0.7500, 0.1250)

Properties
Uncorrected energy: -130.086 eV for the cell shown
Raw formation energy: 0.49 eV per atom

---

(4)
The following is a DFT calculation (PBE) of a relaxed structure of TiSb2Os.

a b c (Å): 4.2915 4.2915 18.2897
angles (deg): 90.00 90.00 90.00
Atoms (fractional coordinates):
Ti (0.0000, 0.0000, 0.0000)
Ti (0.0000, 0.5000, 0.2500)
Ti (0.5000, 0.0000, 0.7500)
Ti (0.5000, 0.5000, 0.5000)
Sb (0.2403, 0.2500, 0.6250)
Sb (0.2500, 0.7403, 0.8750)
Sb (0.2500, 0.7597, 0.3750)
Sb (0.2597, 0.2500, 0.1250)
Sb (0.7403, 0.7500, 0.1250)
Sb (0.7500, 0.2403, 0.3750)
Sb (0.7500, 0.2597, 0.8750)
Sb (0.7597, 0.7500, 0.6250)
Os (0.0000, 0.0000, 0.5000)
Os (0.0000, 0.5000, 0.7500)
Os (0.5000, 0.0000, 0.2500)
Os (0.5000, 0.5000, 0.0000)

Properties
Energy above the lowest structure with this stoichiometry: 234 meV per atom
Uncorrected energy: -103.081 eV for the cell shown
Raw formation energy: 0.40 eV per atom

---

(5)
The following is a DFT calculation (PBE) of a relaxed structure of TiSbOs3.

a b c (Å): 4.7467 4.7467 4.7467
angles (deg): 90.00 90.00 90.00
Atoms (fractional coordinates):
Ti (0.0000, 0.0000, 0.0000)
Sb (0.5000, 0.5000, 0.5000)
Os (0.0000, 0.5000, 0.5000)
Os (0.5000, 0.0000, 0.5000)
Os (0.5000, 0.5000, 0.0000)

Properties
Energy above the lowest structure with this stoichiometry: 480 meV per atom
Uncorrected energy: -35.045 eV for the cell shown
Raw formation energy: 2.13 eV per atom

---

(6)
The following is a DFT calculation (PBE) of a relaxed structure of TiSb2Os.

a b c (Å): 3.1158 3.1158 28.6771
angles (deg): 90.00 90.00 120.00
Atoms (fractional coordinates):
Ti (0.0000, 0.0000, 0.0000)
Ti (0.3333, 0.6667, 0.6667)
Ti (0.6667, 0.3333, 0.3333)
Sb (0.0000, 0.0000, 0.4105)
Sb (0.0000, 0.0000, 0.5895)
Sb (0.3333, 0.6667, 0.0771)
Sb (0.3333, 0.6667, 0.2562)
Sb (0.6667, 0.3333, 0.7438)
Sb (0.6667, 0.3333, 0.9229)
Os (0.0000, 0.0000, 0.5000)
Os (0.3333, 0.6667, 0.1667)
Os (0.6667, 0.3333, 0.8333)

Properties
Energy above the lowest structure with this stoichiometry: 270 meV per atom
Uncorrected energy: -76.887 eV for the cell shown
Raw formation energy: 0.44 eV per atom

---

(7)
The following is a DFT calculation (PBE) of a relaxed structure of TiSbOs3.

a b c (Å): 4.6057 4.6057 4.6057
angles (deg): 90.00 90.00 90.00
Atoms (fractional coordinates):
Ti (0.0000, 0.0000, 0.0000)
Sb (0.5000, 0.5000, 0.5000)
Os (0.0000, 0.0000, 0.5000)
Os (0.0000, 0.5000, 0.0000)
Os (0.5000, 0.0000, 0.0000)

Properties
Energy above the lowest structure with this stoichiometry: 0 meV per atom
Uncorrected energy: -37.446 eV for the cell shown
Raw formation energy: 1.65 eV per atom

---

(8)
The following is a DFT calculation (PBE) of a relaxed structure of TiTl2SbOs.

a b c (Å): 5.4109 5.4109 4.5947
angles (deg): 90.00 90.00 90.00
Atoms (fractional coordinates):
Ti (0.0000, 0.0000, 0.0000)
Tl (0.0000, 0.5000, 0.0000)
Tl (0.5000, 0.0000, 0.0000)
Sb (0.5000, 0.5000, 0.5000)
Os (0.0000, 0.0000, 0.5000)

Properties
Uncorrected energy: -23.115 eV for the cell shown
Raw formation energy: 0.97 eV per atom

---

(9)
The following is a DFT calculation (PBE) of a relaxed structure of Tl2SbOs.

a b c (Å): 3.1904 4.3285 15.2443
angles (deg): 90.00 90.00 90.00
Atoms (fractional coordinates):
Tl (0.0000, 0.0000, 0.1778)
Tl (0.0000, 0.0000, 0.8222)
Tl (0.5000, 0.5000, 0.3222)
Tl (0.5000, 0.5000, 0.6778)
Sb (0.0000, 0.5000, 0.0000)
Sb (0.5000, 0.0000, 0.5000)
Os (0.0000, 0.5000, 0.5000)
Os (0.5000, 0.0000, 0.0000)

Properties
Energy above the lowest structure with this stoichiometry: 149 meV per atom
Uncorrected energy: -36.284 eV for the cell shown
Raw formation energy: 0.49 eV per atom

---

(10)
The following is a DFT calculation (PBE) of a relaxed structure of Tl2SbOs.

a b c (Å): 5.4946 5.4946 5.9933
angles (deg): 90.00 90.00 90.00
Atoms (fractional coordinates):
Tl (0.0000, 0.0000, 0.0000)
Tl (0.0000, 0.5000, 0.2500)
Tl (0.5000, 0.0000, 0.7500)
Tl (0.5000, 0.5000, 0.5000)
Sb (0.0000, 0.0000, 0.5000)
Sb (0.5000, 0.5000, 0.0000)
Os (0.0000, 0.5000, 0.7500)
Os (0.5000, 0.0000, 0.2500)

Properties
Energy above the lowest structure with this stoichiometry: 520 meV per atom
Uncorrected energy: -33.313 eV for the cell shown
Raw formation energy: 0.86 eV per atom

---

(11)
The following is a DFT calculation (PBE) of a relaxed structure of Tl2Sb2Os.

a b c (Å): 7.2140 7.2140 5.0214
angles (deg): 90.00 90.00 90.00
Atoms (fractional coordinates):
Tl (0.1600, 0.3400, 0.0000)
Tl (0.3400, 0.8400, 0.0000)
Tl (0.6600, 0.1600, 0.0000)
Tl (0.8400, 0.6600, 0.0000)
Sb (0.1540, 0.6540, 0.5000)
Sb (0.3460, 0.1540, 0.5000)
Sb (0.6540, 0.8460, 0.5000)
Sb (0.8460, 0.3460, 0.5000)
Os (0.0000, 0.0000, 0.0000)
Os (0.5000, 0.5000, 0.0000)

Properties
Energy above the lowest structure with this stoichiometry: 632 meV per atom
Uncorrected energy: -39.135 eV for the cell shown
Raw formation energy: 0.93 eV per atom

---

(12)
The following is a DFT calculation (PBE) of a relaxed structure of Tl2SbOs.

a b c (Å): 4.5811 4.5961 8.9036
angles (deg): 90.00 90.00 90.00
Atoms (fractional coordinates):
Tl (0.0000, 0.0000, 0.1987)
Tl (0.0000, 0.0000, 0.8013)
Tl (0.5000, 0.5000, 0.1987)
Tl (0.5000, 0.5000, 0.8013)
Sb (0.0000, 0.5000, 0.5000)
Sb (0.5000, 0.0000, 0.5000)
Os (0.0000, 0.5000, 0.0000)
Os (0.5000, 0.0000, 0.0000)

Properties
Energy above the lowest structure with this stoichiometry: 478 meV per atom
Uncorrected energy: -33.648 eV for the cell shown
Raw formation energy: 0.82 eV per atom